[1]
VASP calculation (GGA-PBE) on an optimized crystal structure of PaVCo.

Values from the calculation:
- magnetic moment (μB per cell) = 0.00
- distance to the lowest polymorph of the same formula (eV/atom) = 0.000
- energy relative to the elements (eV/atom) = -0.152
- space-group type = Imma
- DOS at the Fermi energy (states/eV/cell) = 10.24

abc: 5.2013 5.2013 5.2013
angles: 125.37 118.58 86.72
Atoms (fractional coordinates):
Pa: 0.3734 0.1234 0.2500
Pa: 0.6266 0.8766 0.7500
V: 0.0000 0.0000 0.5000
V: 0.0000 0.5000 0.0000
Co: 0.0000 0.5000 0.5000
Co: 0.5000 0.5000 0.0000

=====

[2]
VASP calculation (GGA-PBE) on an optimized crystal structure of PaVCo3.

Values from the calculation:
- magnetic moment (μB per cell) = 0.00
- energy relative to the elements (eV/atom) = -0.056
- space-group type = I4mm
- DOS at the Fermi energy (states/eV/cell) = 6.40

abc: 6.3999 6.3999 6.3999
angles: 147.84 147.84 46.12
Atoms (fractional coordinates):
Pa: 0.0000 0.0000 0.0000
V: 0.6907 0.6907 0.0000
Co: 0.1970 0.1970 0.0000
Co: 0.3363 0.8363 0.5000
Co: 0.8363 0.3363 0.5000

=====

[3]
VASP calculation (GGA-PBE) on an optimized crystal structure of PaV2Co.

Values from the calculation:
- magnetic moment (μB per cell) = 0.61
- distance to the lowest polymorph of the same formula (eV/atom) = 0.126
- energy relative to the elements (eV/atom) = 0.267
- space-group type = P4/mmm
- DOS at the Fermi energy (states/eV/cell) = 5.24

abc: 3.2315 3.2315 5.8681
angles: 90.00 90.00 90.00
Atoms (fractional coordinates):
Pa: 0.0000 0.0000 0.0000
V: 0.5000 0.5000 0.2701
V: 0.5000 0.5000 0.7299
Co: 0.0000 0.0000 0.5000

=====

[4]
VASP calculation (GGA-PBE) on an optimized crystal structure of Pa2VCo9.

Values from the calculation:
- magnetic moment (μB per cell) = 4.61
- energy relative to the elements (eV/atom) = -0.255
- space-group type = P4/mmm
- DOS at the Fermi energy (states/eV/cell) = 10.19

abc: 3.7474 3.7474 11.0079
angles: 90.00 90.00 90.00
Atoms (fractional coordinates):
Pa: 0.0000 0.0000 0.1742
Pa: 0.0000 0.0000 0.8258
V: 0.0000 0.0000 0.5000
Co: 0.0000 0.5000 0.0000
Co: 0.0000 0.5000 0.3531
Co: 0.0000 0.5000 0.6469
Co: 0.5000 0.0000 0.0000
Co: 0.5000 0.0000 0.3531
Co: 0.5000 0.0000 0.6469
Co: 0.5000 0.5000 0.1767
Co: 0.5000 0.5000 0.5000
Co: 0.5000 0.5000 0.8233